Entry 1:
The following is a DFT calculation (PBE) of an optimized crystal structure of Mn21Au2N6.

Results
Mass density (g/cm³): 9.13
ΔE_f (raw) (meV/atom): 49.9
Total moment (μB per atom): 0.8369

Cell: 10.590 10.590 10.590 Å, 90.00 90.00 90.00°
Space group Fm-3m (No. 225)
Unique sites:
Mn (0.000, 0.000, 0.000)
Mn (0.000, 0.163, 0.163)
Mn (0.112, 0.112, 0.388)
Au (0.250, 0.250, 0.250)
N (0.000, 0.000, 0.273)

Entry 2:
The following is a DFT calculation (PBE) of an optimized crystal structure of MnAuN2.

Results
Mass density (g/cm³): 10.62
ΔE_f (raw) (meV/atom): 1398.2
Total moment (μB per atom): 0.7182
Energy above the most stable polymorph in this dataset (eV/atom): 0.970

Cell: 5.594 5.594 5.594 Å, 90.00 90.00 90.00°
Space group Fm-3m (No. 225)
Unique sites:
Mn (0.000, 0.000, 0.000)
Au (0.000, 0.000, 0.500)
N (0.250, 0.250, 0.250)

Entry 3:
The following is a DFT calculation (PBE) of an optimized crystal structure of Mn2NiAuN.

Results
Mass density (g/cm³): 10.23
ΔE_f (raw) (meV/atom): -195.0
Total moment (μB per atom): 1.4281

Cell: 3.994 3.994 3.863 Å, 90.00 90.00 90.00°
Space group P4/mmm (No. 123)
Unique sites:
Mn (0.000, 0.500, 0.000)
Ni (0.000, 0.000, 0.500)
Au (0.500, 0.500, 0.500)
N (0.000, 0.000, 0.000)

| no. | Fermi-level density of states (states/eV/cell) |
| --- | --- |
| 1 | 89.9 |
| 2 | 15.8 |
| 3 | 2.6 |